Entry 1:
A relaxed structure of La6ZnS2I3, computed with PBE.

Properties
The energy relative to the elements, uncorrected comes out at -30.04 kcal/mol of atoms. As for the total energy: -4.948 eV per atom. The crystal system is monoclinic. The calculation puts the total magnetization at 0.00 Bohr magnetons per cell. Its symmetry is No. 12. For the density of states at the Fermi level, the calculation gives 0.732 states/eV/atom.

The structure in POSCAR format:
```
La6ZnS2I3
1.0
3.657 -6.336 0.000
3.657 6.336 0.000
-2.429 0.000 8.041
La Zn S I
6 1 2 3
Direct
0.087 0.433 0.800
0.220 0.220 0.198
0.433 0.087 0.800
0.567 0.913 0.200
0.780 0.780 0.802
0.913 0.567 0.200
0.500 0.500 0.000
0.167 0.833 0.000
0.833 0.167 0.000
0.000 0.000 0.500
0.338 0.662 0.500
0.662 0.338 0.500
```



Entry 2:
A relaxed structure of La2SbI, computed with PBE.

Properties
The energy relative to the elements, uncorrected comes out at -25.48 kcal/mol of atoms. As for the total energy: -4.987 eV per atom. The crystal system is cubic. The calculation puts the total magnetization at 4.27 Bohr magnetons per cell. Its symmetry is No. 225. For the density of states at the Fermi level, the calculation gives 0.736 states/eV/atom.

The structure in POSCAR format:
```
La2SbI
1.0
7.923 0.000 0.000
0.000 7.923 0.000
0.000 0.000 7.923
La Sb I
8 4 4
Direct
0.250 0.250 0.250
0.250 0.250 0.750
0.250 0.750 0.250
0.250 0.750 0.750
0.750 0.250 0.250
0.750 0.250 0.750
0.750 0.750 0.250
0.750 0.750 0.750
0.000 0.000 0.000
0.000 0.500 0.500
0.500 0.000 0.500
0.500 0.500 0.000
0.000 0.000 0.500
0.000 0.500 0.000
0.500 0.000 0.000
0.500 0.500 0.500
```



Entry 3:
A relaxed structure of La3SbI3, computed with PBE.

Properties
The energy relative to the elements, uncorrected comes out at -30.57 kcal/mol of atoms. As for the total energy: -4.690 eV per atom. The crystal system is cubic. The calculation puts the total magnetization at 0.00 Bohr magnetons per cell. Its symmetry is No. 214. For the density of states at the Fermi level, the calculation gives 0.590 states/eV/atom.

The structure in POSCAR format:
```
La3SbI3
1.0
-6.478 6.478 6.478
6.478 -6.478 6.478
6.478 6.478 -6.478
La Sb I
12 4 12
Direct
0.010 0.019 0.260
0.010 0.490 0.750
0.019 0.260 0.010
0.240 0.260 0.750
0.240 0.481 0.490
0.260 0.010 0.019
0.260 0.750 0.240
0.481 0.490 0.240
0.490 0.240 0.481
0.490 0.750 0.010
0.750 0.010 0.490
0.750 0.240 0.260
0.000 0.250 0.500
0.250 0.250 0.250
0.250 0.500 0.000
0.500 0.000 0.250
0.250 0.756 0.744
0.250 0.994 0.506
0.506 0.250 0.994
0.506 0.756 0.513
0.513 0.506 0.756
0.744 0.250 0.756
0.744 0.994 0.987
0.756 0.513 0.506
0.756 0.744 0.250
0.987 0.744 0.994
0.994 0.506 0.250
0.994 0.987 0.744
```



Entry 4:
A relaxed structure of La2SbI, computed with PBE.

Properties
The energy relative to the elements, uncorrected comes out at -25.05 kcal/mol of atoms. As for the total energy: -4.968 eV per atom. The crystal system is tetragonal. The calculation puts the total magnetization at 1.08 Bohr magnetons per cell. Its symmetry is No. 123. For the density of states at the Fermi level, the calculation gives 0.767 states/eV/atom.

The structure in POSCAR format:
```
La2SbI
1.0
3.967 0.000 0.000
0.000 3.967 0.000
0.000 0.000 8.018
La Sb I
2 1 1
Direct
0.000 0.000 0.227
0.000 0.000 0.773
0.500 0.500 0.000
0.500 0.500 0.500
```



Entry 5:
A relaxed structure of La2Sb2I, computed with PBE.

Properties
The value obtained for the energy above the lowest structure with this stoichiometry is 255 meV per atom. The energy relative to the elements, uncorrected comes out at -20.41 kcal/mol of atoms. As for the total energy: -4.815 eV per atom. The crystal system is tetragonal. The calculation puts the total magnetization at 0.00 Bohr magnetons per cell. Its symmetry is No. 139. For the density of states at the Fermi level, the calculation gives 1.037 states/eV/atom.

The structure in POSCAR format:
```
La2Sb2I
1.0
5.979 0.000 0.000
0.000 5.979 0.000
0.000 0.000 10.473
La Sb I
4 4 2
Direct
0.000 0.500 0.250
0.000 0.500 0.750
0.500 0.000 0.250
0.500 0.000 0.750
0.000 0.000 0.137
0.000 0.000 0.863
0.500 0.500 0.363
0.500 0.500 0.637
0.000 0.000 0.500
0.500 0.500 0.000
```



Entry 6:
A relaxed structure of LaSb3I, computed with PBE.

Properties
The value obtained for the energy above the lowest structure with this stoichiometry is 69 meV per atom. The energy relative to the elements, uncorrected comes out at 11.03 kcal/mol of atoms. As for the total energy: -3.291 eV per atom. The crystal system is cubic. The calculation puts the total magnetization at 0.00 Bohr magnetons per cell. Its symmetry is No. 221. For the density of states at the Fermi level, the calculation gives 1.370 states/eV/atom.

The structure in POSCAR format:
```
LaSb3I
1.0
6.119 0.000 0.000
0.000 6.119 0.000
0.000 0.000 6.119
La Sb I
1 3 1
Direct
0.000 0.000 0.000
0.000 0.000 0.500
0.000 0.500 0.000
0.500 0.000 0.000
0.500 0.500 0.500
```



Entry 7:
A relaxed structure of La2Sb2I, computed with PBE.

Properties
The value obtained for the energy above the lowest structure with this stoichiometry is 350 meV per atom. The energy relative to the elements, uncorrected comes out at -18.22 kcal/mol of atoms. As for the total energy: -4.720 eV per atom. The crystal system is tetragonal. The calculation puts the total magnetization at 0.90 Bohr magnetons per cell. Its symmetry is No. 139. For the density of states at the Fermi level, the calculation gives 0.575 states/eV/atom.

The structure in POSCAR format:
```
La2Sb2I
1.0
4.548 0.000 0.000
0.000 4.548 0.000
0.000 0.000 16.780
La Sb I
4 4 2
Direct
0.000 0.000 0.115
0.000 0.000 0.885
0.500 0.500 0.385
0.500 0.500 0.615
0.000 0.500 0.250
0.000 0.500 0.750
0.500 0.000 0.250
0.500 0.000 0.750
0.000 0.000 0.500
0.500 0.500 0.000
```



Entry 8:
A relaxed structure of La2SbI, computed with PBE.

Properties
The energy relative to the elements, uncorrected comes out at -27.18 kcal/mol of atoms. As for the total energy: -5.060 eV per atom. The crystal system is trigonal. The calculation puts the total magnetization at 0.00 Bohr magnetons per cell. Its symmetry is No. 160. For the density of states at the Fermi level, the calculation gives 0.499 states/eV/atom.

The structure in POSCAR format:
```
La2SbI
1.0
4.501 0.000 0.000
-2.251 3.898 0.000
0.000 0.000 24.305
La Sb I
6 3 3
Direct
0.000 0.000 0.000
0.000 0.000 0.187
0.333 0.667 0.667
0.333 0.667 0.854
0.667 0.333 0.333
0.667 0.333 0.521
0.000 0.000 0.595
0.333 0.667 0.262
0.667 0.333 0.928
0.000 0.000 0.426
0.333 0.667 0.093
0.667 0.333 0.760
```



Entry 9:
A relaxed structure of LaSbI, computed with PBE.

Properties
The value obtained for the energy above the lowest structure with this stoichiometry is 0 meV per atom. The energy relative to the elements, uncorrected comes out at -24.14 kcal/mol of atoms. As for the total energy: -4.580 eV per atom. The crystal system is monoclinic. The calculation puts the total magnetization at 0.00 Bohr magnetons per cell. Its symmetry is No. 14.

The structure in POSCAR format:
```
LaSbI
1.0
8.405 0.000 0.000
0.000 8.368 0.000
-3.685 0.000 7.695
La Sb I
4 4 4
Direct
0.046 0.217 0.237
0.046 0.283 0.737
0.954 0.717 0.263
0.954 0.783 0.763
0.183 0.541 0.071
0.183 0.959 0.571
0.817 0.041 0.429
0.817 0.459 0.929
0.260 0.034 0.058
0.260 0.466 0.558
0.740 0.534 0.442
0.740 0.966 0.942
```



Entry 10:
A relaxed structure of La2SbI, computed with PBE.

Properties
The energy relative to the elements, uncorrected comes out at -14.53 kcal/mol of atoms. As for the total energy: -4.512 eV per atom. The crystal system is tetragonal. The calculation puts the total magnetization at 0.00 Bohr magnetons per cell. Its symmetry is No. 122. For the density of states at the Fermi level, the calculation gives 1.305 states/eV/atom.

The structure in POSCAR format:
```
La2SbI
1.0
7.279 0.000 0.000
0.000 7.279 0.000
0.000 0.000 14.480
La Sb I
8 4 4
Direct
0.232 0.250 0.125
0.250 0.732 0.375
0.250 0.768 0.875
0.268 0.250 0.625
0.732 0.750 0.625
0.750 0.232 0.875
0.750 0.268 0.375
0.768 0.750 0.125
0.000 0.000 0.000
0.000 0.500 0.250
0.500 0.000 0.750
0.500 0.500 0.500
0.000 0.000 0.500
0.000 0.500 0.750
0.500 0.000 0.250
0.500 0.500 0.000
```



Entry 11:
A relaxed structure of La7SbI12, computed with PBE.

Properties
The energy relative to the elements, uncorrected comes out at -32.44 kcal/mol of atoms. As for the total energy: -4.268 eV per atom. The crystal system is trigonal. The calculation puts the total magnetization at 0.23 Bohr magnetons per cell. Its symmetry is No. 148. For the density of states at the Fermi level, the calculation gives 0.398 states/eV/atom.

The structure in POSCAR format:
```
La7SbI12
1.0
8.301 4.792 3.624
-8.301 4.792 3.624
0.000 -9.585 3.624
La Sb I
7 1 12
Direct
0.000 0.000 0.000
0.170 0.388 0.461
0.388 0.461 0.170
0.461 0.170 0.388
0.539 0.830 0.612
0.612 0.539 0.830
0.830 0.612 0.539
0.500 0.500 0.500
0.026 0.343 0.107
0.107 0.026 0.343
0.190 0.731 0.578
0.269 0.422 0.810
0.343 0.107 0.026
0.422 0.810 0.269
0.578 0.190 0.731
0.657 0.893 0.974
0.731 0.578 0.190
0.810 0.269 0.422
0.893 0.974 0.657
0.974 0.657 0.893
```



Entry 12:
A relaxed structure of La2Sb2I, computed with PBE.

Properties
The value obtained for the energy above the lowest structure with this stoichiometry is 0 meV per atom. The energy relative to the elements, uncorrected comes out at -26.29 kcal/mol of atoms. As for the total energy: -5.070 eV per atom. The crystal system is tetragonal. The calculation puts the total magnetization at 0.00 Bohr magnetons per cell. Its symmetry is No. 127. For the density of states at the Fermi level, the calculation gives 1.262 states/eV/atom.

The structure in POSCAR format:
```
La2Sb2I
1.0
8.744 0.000 0.000
0.000 8.744 0.000
0.000 0.000 4.370
La Sb I
4 4 2
Direct
0.171 0.329 0.000
0.329 0.829 0.000
0.671 0.171 0.000
0.829 0.671 0.000
0.122 0.622 0.500
0.378 0.122 0.500
0.622 0.878 0.500
0.878 0.378 0.500
0.000 0.000 0.000
0.500 0.500 0.000
```